Computed, not measured: a relaxed structure of Ho3Sc2Bi3 at the PBE level of DFT.

The structure in POSCAR format:
```
Ho3Sc2Bi3
1.0
8.959 0.000 0.000
-4.480 7.759 0.000
0.000 0.000 6.197
Ho Sc Bi
6 4 6
Direct
0.000 0.243 0.250 Ho
0.000 0.757 0.750 Ho
0.243 0.000 0.250 Ho
0.243 0.243 0.750 Ho
0.757 0.000 0.750 Ho
0.757 0.757 0.250 Ho
0.333 0.667 0.000 Sc
0.333 0.667 0.500 Sc
0.667 0.333 0.000 Sc
0.667 0.333 0.500 Sc
0.000 0.395 0.750 Bi
0.000 0.605 0.250 Bi
0.395 0.000 0.750 Bi
0.395 0.395 0.250 Bi
0.605 0.000 0.250 Bi
0.605 0.605 0.750 Bi
```

Values from the calculation:
formation energy from the elements: -0.660 eV/atom
total DFT energy (no corrections): -5.41 eV per atom

=====

Computed, not measured: a relaxed structure of BeCuC3 at the PBE level of DFT.

The structure in POSCAR format:
```
BeCuC3
1.0
3.554 0.000 0.000
0.000 3.554 0.000
0.000 0.000 3.554
Be Cu C
1 1 3
Direct
0.000 0.000 0.000 Be
0.500 0.500 0.500 Cu
0.000 0.000 0.500 C
0.000 0.500 0.000 C
0.500 0.000 0.000 C
```

Values from the calculation:
formation energy from the elements: 2.391 eV/atom
total DFT energy (no corrections): -4.71 eV per atom

=====

Computed, not measured: a relaxed structure of Nd3Mg9Pd2 at the PBE level of DFT.

The structure in POSCAR format:
```
Nd3Mg9Pd2
1.0
-2.495 5.386 6.229
2.495 -5.386 6.229
2.495 5.386 -6.229
Nd Mg Pd
3 9 2
Direct
0.000 0.000 0.000 Nd
0.295 0.295 0.000 Nd
0.705 0.705 0.000 Nd
0.007 0.367 0.640 Mg
0.151 0.869 0.281 Mg
0.273 0.633 0.640 Mg
0.412 0.131 0.281 Mg
0.500 0.000 0.500 Mg
0.588 0.869 0.719 Mg
0.727 0.367 0.360 Mg
0.849 0.131 0.719 Mg
0.993 0.633 0.360 Mg
0.346 0.500 0.846 Pd
0.654 0.500 0.154 Pd
```

Values from the calculation:
formation energy from the elements: -0.242 eV/atom
total DFT energy (no corrections): -3.03 eV per atom

=====

Computed, not measured: a relaxed structure of SmY4Ho2 at the PBE level of DFT.

The structure in POSCAR format:
```
SmY4Ho2
1.0
6.410 0.000 0.000
3.205 7.915 0.000
3.195 -0.630 9.018
Sm Y Ho
2 8 4
Direct
0.000 0.000 0.000 Sm
0.462 0.162 0.914 Sm
0.020 0.915 0.644 Y
0.032 0.815 0.293 Y
0.041 0.246 0.270 Y
0.537 0.415 0.151 Y
0.547 0.844 0.122 Y
0.565 0.747 0.765 Y
0.603 0.346 0.621 Y
0.973 0.318 0.794 Y
0.109 0.581 0.956 Ho
0.117 0.502 0.502 Ho
0.475 0.081 0.458 Ho
0.584 0.659 0.413 Ho
```

Values from the calculation:
formation energy from the elements: 0.166 eV/atom
total DFT energy (no corrections): -5.51 eV per atom